<a>
Density functional theory data (PBE-GGA) for a relaxed YEr2In2 crystal.

Structure (CIF):
```
data_YEr2In2
_chemical_formula_sum 'Y1 Er2 In2'
_cell_length_a 5.1909
_cell_length_b 5.1909
_cell_length_c 6.4679
_cell_angle_alpha 90.00
_cell_angle_beta 90.00
_cell_angle_gamma 120.00
_space_group_name_H-M_alt 'P -3 m 1'
_space_group_IT_number 164
_space_group_name_Hall '-P 3 2"'
loop_
_atom_site_label
_atom_site_type_symbol
_atom_site_fract_x
_atom_site_fract_y
_atom_site_fract_z
Y1 Y 0.0000 0.0000 0.0000
Er1 Er 0.3333 0.6667 0.6605
In1 In 0.3333 0.6667 0.1819
```

---

<b>
Density functional theory data (PBE-GGA) for a relaxed YEr2In2 crystal.

Structure (CIF):
```
data_YEr2In2
_chemical_formula_sum 'Y2 Er4 In4'
_cell_length_a 3.732
_cell_length_b 5.315
_cell_length_c 13.903
_cell_angle_alpha 90.00
_cell_angle_beta 97.72
_cell_angle_gamma 90.00
_space_group_name_H-M_alt 'P 1 21/m 1'
_space_group_IT_number 11
loop_
_space_group_symop_operation_xyz
'x,y,z'
'-x,-y,-z'
'-x,y+1/2,-z'
'x,-y+1/2,z'
loop_
_atom_site_label
_atom_site_type_symbol
_atom_site_fract_x
_atom_site_fract_y
_atom_site_fract_z
Y1 Y 0.148 0.250 0.298
Er1 Er 0.048 0.750 0.096
Er2 Er 0.237 0.750 0.475
In1 In 0.357 0.250 0.713
In2 In 0.451 0.750 0.901
```

---

Which of them is the most stable, and which is the least stable? <b> and <a>, in that order.

---

<a>
Density functional theory data (PBE-GGA) for a relaxed Y6ErIn crystal.

Structure (CIF):
```
data_Y6ErIn
_chemical_formula_sum 'Y18 Er3 In3'
_cell_length_a 9.2137
_cell_length_b 9.2137
_cell_length_c 10.2105
_cell_angle_alpha 90.00
_cell_angle_beta 90.00
_cell_angle_gamma 120.00
_space_group_name_H-M_alt 'R -3'
_space_group_IT_number 148
_space_group_name_Hall '-R 3'
loop_
_atom_site_label
_atom_site_type_symbol
_atom_site_fract_x
_atom_site_fract_y
_atom_site_fract_z
Y1 Y 0.0198 0.7629 0.2220
Er1 Er 0.0000 0.0000 0.5000
In1 In 0.0000 0.0000 0.0000
```

---

<b>
Density functional theory data (PBE-GGA) for a relaxed Y6ErIn crystal.

Structure (CIF):
```
data_Y6ErIn
_chemical_formula_sum 'Y6 Er1 In1'
_cell_length_a 4.917
_cell_length_b 4.917
_cell_length_c 10.070
_cell_angle_alpha 90.00
_cell_angle_beta 90.00
_cell_angle_gamma 90.00
_space_group_name_H-M_alt 'P 4/m m m'
_space_group_IT_number 123
_space_group_name_Hall '-P 4 2'
loop_
_atom_site_label
_atom_site_type_symbol
_atom_site_fract_x
_atom_site_fract_y
_atom_site_fract_z
Y1 Y 0.000 0.000 0.000
Y2 Y 0.000 0.000 0.500
Y3 Y 0.000 0.500 0.244
Er1 Er 0.500 0.500 0.500
In1 In 0.500 0.500 0.000
```

---

Which of them is the most stable, and which is the least stable? <b> and <a>, in that order.

---

<a>
Density functional theory data (PBE-GGA) for a relaxed Y12Er6In crystal.

Structure (CIF):
```
data_Y12Er6In
_chemical_formula_sum 'Y36 Er18 In3'
_cell_length_a 12.8804
_cell_length_b 12.8804
_cell_length_c 12.7583
_cell_angle_alpha 90.00
_cell_angle_beta 90.00
_cell_angle_gamma 120.00
_space_group_name_H-M_alt 'R -3 m'
_space_group_IT_number 166
_space_group_name_Hall '-R 3 2"'
loop_
_atom_site_label
_atom_site_type_symbol
_atom_site_fract_x
_atom_site_fract_y
_atom_site_fract_z
Y1 Y 0.0000 0.2597 0.0000
Y2 Y 0.0624 0.5312 0.1099
Er1 Er 0.0904 0.1809 0.7739
In1 In 0.0000 0.0000 0.0000
```

---

<b>
Density functional theory data (PBE-GGA) for a relaxed Y12Er6In crystal.

Structure (CIF):
```
data_Y12Er6In
_chemical_formula_sum 'Y36 Er18 In3'
_cell_length_a 11.8344
_cell_length_b 11.8344
_cell_length_c 14.9799
_cell_angle_alpha 90.00
_cell_angle_beta 90.00
_cell_angle_gamma 120.00
_space_group_name_H-M_alt 'R -3'
_space_group_IT_number 148
_space_group_name_Hall '-R 3'
loop_
_atom_site_label
_atom_site_type_symbol
_atom_site_fract_x
_atom_site_fract_y
_atom_site_fract_z
Y1 Y 0.0077 0.1792 0.3149
Y2 Y 0.0463 0.8489 0.9147
Er1 Er 0.0224 0.4301 0.1894
In1 In 0.0000 0.0000 0.5000
```

---

Which of them is the most stable, and which is the least stable? <b> and <a>, in that order.

---

<a>
Density functional theory data (PBE-GGA) for a relaxed YErZnIn crystal.

Structure (CIF):
```
data_YErZnIn
_chemical_formula_sum 'Y1 Er1 Zn1 In1'
_cell_length_a 3.631
_cell_length_b 3.631
_cell_length_c 7.398
_cell_angle_alpha 90.00
_cell_angle_beta 90.00
_cell_angle_gamma 90.00
_space_group_name_H-M_alt 'P 4 m m'
_space_group_IT_number 99
loop_
_space_group_symop_operation_xyz
'x,y,z'
'-y,x,z'
'-x,-y,z'
'y,-x,z'
'-x,y,z'
'y,x,z'
'x,-y,z'
'-y,-x,z'
loop_
_atom_site_label
_atom_site_type_symbol
_atom_site_fract_x
_atom_site_fract_y
_atom_site_fract_z
Y1 Y 0.000 0.000 0.000
Er1 Er 0.000 0.000 0.538
Zn1 Zn 0.500 0.500 0.763
In1 In 0.500 0.500 0.272
```

---

<b>
Density functional theory data (PBE-GGA) for a relaxed YErZnIn crystal.

Structure (CIF):
```
data_YErZnIn
_chemical_formula_sum 'Y4 Er4 Zn4 In4'
_cell_length_a 7.325
_cell_length_b 7.325
_cell_length_c 7.325
_cell_angle_alpha 90.00
_cell_angle_beta 90.00
_cell_angle_gamma 90.00
_space_group_name_H-M_alt 'F -4 3 m'
_space_group_IT_number 216
_space_group_name_Hall 'F -4 2 3'
loop_
_atom_site_label
_atom_site_type_symbol
_atom_site_fract_x
_atom_site_fract_y
_atom_site_fract_z
Y1 Y 0.000 0.000 0.000
Er1 Er 0.000 0.000 0.500
Zn1 Zn 0.250 0.250 0.250
In1 In 0.250 0.250 0.750
```

---

Which of them is the most stable, and which is the least stable? <a> and <b>, in that order.

---

<a>
Density functional theory data (PBE-GGA) for a relaxed Er2ZnIn3 crystal.

Structure (CIF):
```
data_Er2ZnIn3
_chemical_formula_sum 'Er16 Zn8 In24'
_cell_length_a 7.002
_cell_length_b 9.674
_cell_length_c 16.747
_cell_angle_alpha 90.00
_cell_angle_beta 90.00
_cell_angle_gamma 90.00
_space_group_name_H-M_alt 'F m m m'
_space_group_IT_number 69
_space_group_name_Hall '-F 2 2'
loop_
_atom_site_label
_atom_site_type_symbol
_atom_site_fract_x
_atom_site_fract_y
_atom_site_fract_z
Er1 Er 0.249 0.000 0.000
Er2 Er 0.250 0.250 0.250
Zn1 Zn 0.000 0.000 0.167
In1 In 0.000 0.000 0.328
In2 In 0.000 0.243 0.086
```

---

<b>
Density functional theory data (PBE-GGA) for a relaxed Er2ZnIn3 crystal.

Structure (CIF):
```
data_Er2ZnIn3
_chemical_formula_sum 'Er2 Zn1 In3'
_cell_length_a 3.553
_cell_length_b 4.781
_cell_length_c 8.385
_cell_angle_alpha 90.00
_cell_angle_beta 90.00
_cell_angle_gamma 90.00
_space_group_name_H-M_alt 'P m m 2'
_space_group_IT_number 25
loop_
_space_group_symop_operation_xyz
'x,y,z'
'-x,-y,z'
'-x,y,z'
'x,-y,z'
loop_
_atom_site_label
_atom_site_type_symbol
_atom_site_fract_x
_atom_site_fract_y
_atom_site_fract_z
Er1 Er 0.000 0.000 0.000
Er2 Er 0.000 0.500 0.486
Zn1 Zn 0.500 0.000 0.321
In1 In 0.500 0.000 0.643
In2 In 0.500 0.500 0.171
In3 In 0.500 0.500 0.828
```

---

Which of them is the most stable, and which is the least stable? <a> and <b>, in that order.

---

<a>
Density functional theory data (PBE-GGA) for a relaxed Er4ZnIn crystal.

Structure (CIF):
```
data_Er4ZnIn
_chemical_formula_sum 'Er4 Zn1 In1'
_cell_length_a 3.534
_cell_length_b 3.534
_cell_length_c 12.745
_cell_angle_alpha 90.00
_cell_angle_beta 90.00
_cell_angle_gamma 90.00
_space_group_name_H-M_alt 'P 4/m m m'
_space_group_IT_number 123
_space_group_name_Hall '-P 4 2'
loop_
_atom_site_label
_atom_site_type_symbol
_atom_site_fract_x
_atom_site_fract_y
_atom_site_fract_z
Er1 Er 0.000 0.000 0.138
Er2 Er 0.500 0.500 0.334
Zn1 Zn 0.500 0.500 0.000
In1 In 0.000 0.000 0.500
```

---

<b>
Density functional theory data (PBE-GGA) for a relaxed Er4ZnIn crystal.

Structure (CIF):
```
data_Er4ZnIn
_chemical_formula_sum 'Er4 Zn1 In1'
_cell_length_a 4.989
_cell_length_b 4.989
_cell_length_c 7.207
_cell_angle_alpha 90.00
_cell_angle_beta 90.00
_cell_angle_gamma 90.00
_space_group_name_H-M_alt 'P 4/m m m'
_space_group_IT_number 123
_space_group_name_Hall '-P 4 2'
loop_
_atom_site_label
_atom_site_type_symbol
_atom_site_fract_x
_atom_site_fract_y
_atom_site_fract_z
Er1 Er 0.000 0.500 0.235
Zn1 Zn 0.000 0.000 0.000
In1 In 0.500 0.500 0.500
```

---

Which of them is the most stable, and which is the least stable? <a> and <b>, in that order.

---

<a>
Density functional theory data (PBE-GGA) for a relaxed Er2ZrIn crystal.

Structure (CIF):
```
data_Er2ZrIn
_chemical_formula_sum 'Er4 Zr2 In2'
_cell_length_a 4.504
_cell_length_b 4.425
_cell_length_c 11.018
_cell_angle_alpha 90.00
_cell_angle_beta 101.34
_cell_angle_gamma 90.00
_space_group_name_H-M_alt 'P 1 21/m 1'
_space_group_IT_number 11
loop_
_space_group_symop_operation_xyz
'x,y,z'
'-x,-y,-z'
'-x,y+1/2,-z'
'x,-y+1/2,z'
loop_
_atom_site_label
_atom_site_type_symbol
_atom_site_fract_x
_atom_site_fract_y
_atom_site_fract_z
Er1 Er 0.062 0.250 0.129
Er2 Er 0.433 0.250 0.861
Zr1 Zr 0.316 0.750 0.618
In1 In 0.166 0.750 0.346
```

---

<b>
Density functional theory data (PBE-GGA) for a relaxed Er2ZrIn crystal.

Structure (CIF):
```
data_Er2ZrIn
_chemical_formula_sum 'Er8 Zr4 In4'
_cell_length_a 7.495
_cell_length_b 7.495
_cell_length_c 7.495
_cell_angle_alpha 90.00
_cell_angle_beta 90.00
_cell_angle_gamma 90.00
_space_group_name_H-M_alt 'F m -3 m'
_space_group_IT_number 225
_space_group_name_Hall '-F 4 2 3'
loop_
_atom_site_label
_atom_site_type_symbol
_atom_site_fract_x
_atom_site_fract_y
_atom_site_fract_z
Er1 Er 0.250 0.250 0.250
Zr1 Zr 0.000 0.000 0.000
In1 In 0.000 0.000 0.500
```

---

Which of them is the most stable, and which is the least stable? <b> and <a>, in that order.

---

<a>
Density functional theory data (PBE-GGA) for a relaxed Er2ZrIn crystal.

Structure (CIF):
```
data_Er2ZrIn
_chemical_formula_sum 'Er2 Zr1 In1'
_cell_length_a 4.672
_cell_length_b 4.672
_cell_length_c 4.671
_cell_angle_alpha 90.00
_cell_angle_beta 90.00
_cell_angle_gamma 90.00
_space_group_name_H-M_alt 'P 4/m m m'
_space_group_IT_number 123
_space_group_name_Hall '-P 4 2'
loop_
_atom_site_label
_atom_site_type_symbol
_atom_site_fract_x
_atom_site_fract_y
_atom_site_fract_z
Er1 Er 0.000 0.500 0.000
Zr1 Zr 0.000 0.000 0.500
In1 In 0.500 0.500 0.500
```

---

<b>
Density functional theory data (PBE-GGA) for a relaxed Er2ZrIn crystal.

Structure (CIF):
```
data_Er2ZrIn
_chemical_formula_sum 'Er6 Zr3 In3'
_cell_length_a 3.4445
_cell_length_b 3.4445
_cell_length_c 31.6178
_cell_angle_alpha 90.00
_cell_angle_beta 90.00
_cell_angle_gamma 120.00
_space_group_name_H-M_alt 'R 3 m'
_space_group_IT_number 160
_space_group_name_Hall 'R 3 -2"'
loop_
_atom_site_label
_atom_site_type_symbol
_atom_site_fract_x
_atom_site_fract_y
_atom_site_fract_z
Er1 Er 0.0000 0.0000 0.0000
Er2 Er 0.0000 0.0000 0.1660
Zr1 Zr 0.0000 0.0000 0.7498
In1 In 0.0000 0.0000 0.5832
```

---

Which of them is the most stable, and which is the least stable? <a> and <b>, in that order.